Entry 1:
Material: KOs2Se
Method: DFT, meta-GGA SCAN
State: single point on PBEsol structure

Crystal system: trigonal
Uncorrected formation energy, eV per atom: 1.14
Total magnetization, μB per formula unit: 0.000
Mass density, g/cm3: 11.7

Unit cell a=9.717 b=9.717 c=9.717 alpha=17.32 beta=17.32 gamma=17.32
Sites, in units of the cell vectors:
1 K 0.000 0.000 0.000
2 Os 0.232 0.232 0.232
3 Os 0.768 0.768 0.768
4 Se 0.500 0.500 0.500


Entry 2:
Material: KOsSe2
Method: DFT, meta-GGA SCAN
State: single point on PBEsol structure

Crystal system: orthorhombic
Uncorrected formation energy, eV per atom: -0.17
Total magnetization, μB per formula unit: 0.000
Mass density, g/cm3: 7.6

Unit cell a=3.010 b=3.810 c=7.355 alpha=90.00 beta=90.00 gamma=90.00
Sites, in units of the cell vectors:
1 K 0.000 0.000 0.000
2 Os 0.500 0.000 0.500
3 Se 0.500 0.500 0.293
4 Se 0.500 0.500 0.707


Entry 3:
Material: KOs2Se
Method: DFT, meta-GGA SCAN
State: single point on PBEsol structure

Crystal system: trigonal
Uncorrected formation energy, eV per atom: 0.73
Total magnetization, μB per formula unit: 0.000
Mass density, g/cm3: 11.9

Unit cell a=9.837 b=9.837 c=9.837 alpha=16.85 beta=16.85 gamma=16.85
Sites, in units of the cell vectors:
1 K 0.000 0.000 0.000
2 Os 0.234 0.234 0.234
3 Os 0.498 0.498 0.498
4 Se 0.762 0.762 0.762


Entry 4:
Material: KOs2Se
Method: DFT, meta-GGA SCAN
State: single point on PBEsol structure

Crystal system: orthorhombic
Uncorrected formation energy, eV per atom: 0.99
Total magnetization, μB per formula unit: 0.000
Mass density, g/cm3: 11.9

Unit cell a=5.907 b=5.907 c=5.907 alpha=152.63 beta=132.50 gamma=55.69
Sites, in units of the cell vectors:
1 K 0.000 0.000 0.000
2 Os 0.284 0.784 0.500
3 Os 0.716 0.216 0.500
4 Se 0.500 0.500 0.000


Entry 5:
Material: KSiOs2
Method: DFT, meta-GGA SCAN
State: single point on PBEsol structure

Crystal system: trigonal
Uncorrected formation energy, eV per atom: 0.44
Total magnetization, μB per formula unit: 0.000
Mass density, g/cm3: 11.4

Unit cell a=9.373 b=9.373 c=9.373 alpha=17.50 beta=17.50 gamma=17.50
Sites, in units of the cell vectors:
1 K 0.000 0.000 0.000
2 Si 0.500 0.500 0.500
3 Os 0.231 0.231 0.231
4 Os 0.769 0.769 0.769


Entry 6:
Material: K2SiOs
Method: DFT, meta-GGA SCAN
State: single point on PBEsol structure

Crystal system: orthorhombic
Uncorrected formation energy, eV per atom: 0.27
Total magnetization, μB per formula unit: 0.088
Mass density, g/cm3: 4.4

Unit cell a=2.887 b=3.848 c=9.971 alpha=90.00 beta=90.00 gamma=90.00
Sites, in units of the cell vectors:
1 K 0.000 0.000 0.000
2 K 0.500 0.500 0.407
3 Si 0.000 0.000 0.695
4 Os 0.500 0.500 0.719


Entry 7:
Material: KSiOs
Method: DFT, meta-GGA SCAN
State: single point on PBEsol structure

Crystal system: cubic
Uncorrected formation energy, eV per atom: 1.30
Total magnetization, μB per formula unit: 0.000
Mass density, g/cm3: 7.3

Unit cell a=4.361 b=4.361 c=4.361 alpha=60.00 beta=60.00 gamma=60.00
Sites, in units of the cell vectors:
1 K 0.000 0.000 0.000
2 Si 0.500 0.500 0.500
3 Os 0.750 0.750 0.750


Entry 8:
Material: KSi2Os
Method: DFT, meta-GGA SCAN
State: single point on PBEsol structure

Crystal system: orthorhombic
Uncorrected formation energy, eV per atom: 1.30
Total magnetization, μB per formula unit: 0.000
Mass density, g/cm3: 7.0

Unit cell a=2.866 b=4.469 c=5.316 alpha=90.00 beta=90.00 gamma=90.00
Sites, in units of the cell vectors:
1 K 0.000 0.000 0.000
2 Si 0.000 0.500 0.500
3 Si 0.500 0.500 0.000
4 Os 0.500 0.000 0.500


Entry 9:
Material: KSiOs2
Method: DFT, meta-GGA SCAN
State: single point on PBEsol structure

Crystal system: orthorhombic
Uncorrected formation energy, eV per atom: 0.56
Total magnetization, μB per formula unit: 0.000
Mass density, g/cm3: 11.4

Unit cell a=2.794 b=2.794 c=9.330 alpha=90.00 beta=90.00 gamma=116.49
Sites, in units of the cell vectors:
1 K 0.000 0.000 0.000
2 Si 0.000 0.000 0.500
3 Os 0.500 0.500 0.303
4 Os 0.500 0.500 0.697


Entry 10:
Material: KSn3Os
Method: DFT, meta-GGA SCAN
State: single point on PBEsol structure

Crystal system: cubic
Formation energy, eV per atom: 2.4871
Total magnetization, μB per formula unit: 2.657
Mass density, g/cm3: 6.1

Unit cell a=5.417 b=5.417 c=5.417 alpha=90.00 beta=90.00 gamma=90.00
Sites, in units of the cell vectors:
1 K 0.000 0.000 0.000
2 Sn 0.000 0.000 0.500
3 Sn 0.000 0.500 0.000
4 Sn 0.500 0.000 0.000
5 Os 0.500 0.500 0.500


Entry 11:
Material: KSnTe2Os
Method: DFT, meta-GGA SCAN
State: single point on PBEsol structure

Crystal system: tetragonal
Uncorrected formation energy, eV per atom: 2.14
Total magnetization, μB per formula unit: 2.650
Mass density, g/cm3: 5.6

Unit cell a=5.693 b=5.693 c=5.544 alpha=90.00 beta=90.00 gamma=90.00
Sites, in units of the cell vectors:
1 K 0.000 0.000 0.000
2 Sn 0.000 0.000 0.500
3 Te 0.000 0.500 0.000
4 Te 0.500 0.000 0.000
5 Os 0.500 0.500 0.500


Entry 12:
Material: KSrOs2
Method: DFT, meta-GGA SCAN
State: single point on PBEsol structure

Crystal system: tetragonal
Formation energy, eV per atom: 1.3081
Total magnetization, μB per formula unit: 0.000
Mass density, g/cm3: 10.9
ΔE to the lowest computed polymorph, eV per atom: 0.620

Unit cell a=5.919 b=5.919 c=5.919 alpha=142.33 beta=142.33 gamma=54.33
Sites, in units of the cell vectors:
1 K 0.000 0.000 0.000
2 Sr 0.500 0.500 0.000
3 Os 0.250 0.750 0.500
4 Os 0.750 0.250 0.500